[1]
DFT (PBE) results for an optimized crystal structure of SmTlZnTe3.

a = 9.107 Å, b = 4.650 Å, c = 17.872 Å
α = 90.00°, β = 90.00°, γ = 90.00°
Atoms (fractional coordinates):
Sm 0.256 0.750 0.047
Sm 0.756 0.750 0.453
Sm 0.244 0.250 0.547
Sm 0.744 0.250 0.953
Te 0.625 0.750 0.055
Te 0.997 0.250 0.088
Te 0.296 0.750 0.215
Te 0.796 0.750 0.285
Te 0.497 0.250 0.412
Te 0.125 0.750 0.445
Te 0.875 0.250 0.555
Te 0.503 0.750 0.588
Te 0.204 0.250 0.715
Te 0.704 0.250 0.785
Te 0.003 0.750 0.912
Te 0.375 0.250 0.945
Tl 0.566 0.250 0.211
Tl 0.066 0.250 0.289
Tl 0.934 0.750 0.711
Tl 0.434 0.750 0.789
Zn 0.869 0.750 0.142
Zn 0.369 0.750 0.358
Zn 0.631 0.250 0.642
Zn 0.131 0.250 0.858

Properties
* total DFT energy (no corrections): -0.13616 Ha/atom
* M_tot: 0.00 μB per formula unit


[2]
DFT (PBE) results for an optimized crystal structure of SmTlZnTe3.

a = 4.555 Å, b = 12.608 Å, c = 13.281 Å
α = 90.00°, β = 90.00°, γ = 90.00°
Atoms (fractional coordinates):
Sm 0.250 0.474 0.181
Sm 0.250 0.974 0.319
Sm 0.750 0.026 0.681
Sm 0.750 0.526 0.819
Te 0.750 0.600 0.062
Te 0.750 0.960 0.152
Te 0.250 0.218 0.192
Te 0.250 0.718 0.308
Te 0.750 0.460 0.348
Te 0.750 0.100 0.438
Te 0.250 0.900 0.562
Te 0.250 0.540 0.652
Te 0.750 0.282 0.692
Te 0.750 0.782 0.808
Te 0.250 0.040 0.848
Te 0.250 0.400 0.938
Tl 0.250 0.819 0.005
Tl 0.250 0.319 0.495
Tl 0.750 0.681 0.505
Tl 0.750 0.181 0.995
Zn 0.750 0.755 0.200
Zn 0.750 0.255 0.300
Zn 0.250 0.745 0.700
Zn 0.250 0.245 0.800

Properties
* total DFT energy (no corrections): -0.13834 Ha/atom
* M_tot: 0.00 μB per formula unit


[3]
DFT (PBE) results for an optimized crystal structure of SmTlZnTe3.

a = 11.802 Å, b = 4.404 Å, c = 15.543 Å
α = 90.00°, β = 90.00°, γ = 90.00°
Atoms (fractional coordinates):
Sm 0.514 0.250 0.245
Sm 0.014 0.250 0.255
Sm 0.986 0.750 0.745
Sm 0.486 0.750 0.755
Te 0.582 0.750 0.110
Te 0.949 0.750 0.119
Te 0.261 0.250 0.177
Te 0.761 0.250 0.323
Te 0.449 0.750 0.381
Te 0.082 0.750 0.390
Te 0.918 0.250 0.610
Te 0.551 0.250 0.619
Te 0.239 0.750 0.677
Te 0.739 0.750 0.823
Te 0.051 0.250 0.881
Te 0.418 0.250 0.890
Tl 0.774 0.250 0.006
Tl 0.274 0.250 0.494
Tl 0.726 0.750 0.506
Tl 0.226 0.750 0.994
Zn 0.761 0.750 0.215
Zn 0.261 0.750 0.285
Zn 0.739 0.250 0.715
Zn 0.239 0.250 0.785

Properties
* total DFT energy (no corrections): -0.13987 Ha/atom
* M_tot: 0.00 μB per formula unit


[4]
DFT (PBE) results for an optimized crystal structure of SmTlZnTe3.

a = 10.140 Å, b = 10.140 Å, c = 9.340 Å
α = 102.89°, β = 102.89°, γ = 25.63°
Atoms (fractional coordinates):
Sm 0.173 0.173 0.084
Sm 0.827 0.827 0.916
Te 0.000 0.000 0.000
Te 0.333 0.333 0.146
Te 0.670 0.670 0.315
Te 0.500 0.500 0.500
Te 0.330 0.330 0.685
Te 0.667 0.667 0.854
Tl 0.867 0.867 0.427
Tl 0.133 0.133 0.573
Zn 0.533 0.533 0.224
Zn 0.467 0.467 0.776

Properties
* total DFT energy (no corrections): -0.13455 Ha/atom
* M_tot: 0.00 μB per formula unit


[5]
DFT (PBE) results for an optimized crystal structure of SmTlZnTe3.

a = 15.847 Å, b = 4.412 Å, c = 11.871 Å
α = 90.00°, β = 90.00°, γ = 90.00°
Atoms (fractional coordinates):
Sm 0.526 0.750 0.159
Sm 0.026 0.750 0.341
Sm 0.974 0.250 0.659
Sm 0.474 0.250 0.841
Te 0.397 0.250 0.081
Te 0.914 0.750 0.113
Te 0.147 0.250 0.244
Te 0.647 0.250 0.256
Te 0.414 0.750 0.387
Te 0.897 0.250 0.419
Te 0.103 0.750 0.581
Te 0.586 0.250 0.613
Te 0.353 0.750 0.744
Te 0.853 0.750 0.756
Te 0.086 0.250 0.887
Te 0.603 0.750 0.919
Tl 0.240 0.750 0.034
Tl 0.740 0.750 0.466
Tl 0.260 0.250 0.534
Tl 0.760 0.250 0.966
Zn 0.017 0.250 0.100
Zn 0.517 0.250 0.400
Zn 0.483 0.750 0.600
Zn 0.983 0.750 0.900

Properties
* total DFT energy (no corrections): -0.13926 Ha/atom
* M_tot: 0.00 μB per formula unit


[6]
DFT (PBE) results for an optimized crystal structure of SmTlZnTe3.

a = 8.902 Å, b = 4.414 Å, c = 11.208 Å
α = 90.00°, β = 108.09°, γ = 90.00°
Atoms (fractional coordinates):
Sm 0.808 0.750 0.359
Sm 0.192 0.250 0.641
Te 0.727 0.750 0.054
Te 0.551 0.250 0.340
Te 0.055 0.250 0.351
Te 0.945 0.750 0.649
Te 0.449 0.750 0.660
Te 0.273 0.250 0.946
Tl 0.236 0.750 0.205
Tl 0.764 0.250 0.795
Zn 0.579 0.250 0.110
Zn 0.421 0.750 0.890

Properties
* total DFT energy (no corrections): -0.13903 Ha/atom
* M_tot: 0.01 μB per formula unit


[7]
DFT (PBE) results for an optimized crystal structure of SmTlZnTe3.

a = 8.109 Å, b = 8.109 Å, c = 11.764 Å
α = 90.00°, β = 90.00°, γ = 31.48°
Atoms (fractional coordinates):
Sm 0.000 0.000 0.000
Sm 0.000 0.000 0.500
Te 0.365 0.365 0.066
Te 0.073 0.073 0.250
Te 0.365 0.365 0.434
Te 0.635 0.635 0.566
Te 0.927 0.927 0.750
Te 0.635 0.635 0.934
Tl 0.757 0.757 0.250
Tl 0.243 0.243 0.750
Zn 0.466 0.466 0.250
Zn 0.534 0.534 0.750

Properties
* total DFT energy (no corrections): -0.13986 Ha/atom
* M_tot: 0.00 μB per formula unit


[8]
DFT (PBE) results for an optimized crystal structure of SmTmTe.

a = 5.078 Å, b = 5.078 Å, c = 5.078 Å
α = 60.00°, β = 60.00°, γ = 60.00°
Atoms (fractional coordinates):
Sm 0.250 0.250 0.250
Te 0.000 0.000 0.000
Tm 0.750 0.750 0.750

Properties
* total DFT energy (no corrections): -0.16850 Ha/atom
* M_tot: 0.84 μB per formula unit


[9]
DFT (PBE) results for an optimized crystal structure of Sm2TmTe3.

a = 4.390 Å, b = 4.390 Å, c = 10.782 Å
α = 90.00°, β = 90.00°, γ = 120.00°
Atoms (fractional coordinates):
Sm 0.333 0.667 0.168
Sm 0.667 0.333 0.832
Te 0.000 0.000 0.000
Te 0.667 0.333 0.343
Te 0.333 0.667 0.657
Tm 0.000 0.000 0.500

Properties
* total DFT energy (no corrections): -0.19123 Ha/atom
* M_tot: 0.00 μB per formula unit


[10]
DFT (PBE) results for an optimized crystal structure of SmTmZnTe3.

a = 7.810 Å, b = 7.810 Å, c = 10.554 Å
α = 90.00°, β = 90.00°, γ = 149.09°
Atoms (fractional coordinates):
Sm 0.776 0.224 0.250
Sm 0.224 0.776 0.750
Te 0.351 0.649 0.045
Te 0.112 0.888 0.250
Te 0.351 0.649 0.455
Te 0.649 0.351 0.545
Te 0.888 0.112 0.750
Te 0.649 0.351 0.955
Tm 0.000 0.000 0.000
Tm 0.000 0.000 0.500
Zn 0.475 0.525 0.250
Zn 0.525 0.475 0.750

Properties
* total DFT energy (no corrections): -0.15655 Ha/atom
* M_tot: 0.02 μB per formula unit


[11]
DFT (PBE) results for an optimized crystal structure of SmUTe.

a = 5.136 Å, b = 5.136 Å, c = 5.136 Å
α = 60.00°, β = 60.00°, γ = 60.00°
Site moments in Bohr magnetons follow the coordinates.
Atoms (fractional coordinates):
Sm 0.500 0.500 0.500  0.42
Te 0.250 0.250 0.250  -0.01
U 0.000 0.000 0.000  3.11

Properties
* total DFT energy (no corrections): -0.23217 Ha/atom
* M_tot: 4.50 μB per formula unit


[12]
DFT (PBE) results for an optimized crystal structure of SmTeW.

a = 5.034 Å, b = 5.034 Å, c = 5.034 Å
α = 60.00°, β = 60.00°, γ = 60.00°
Atoms (fractional coordinates):
Sm 0.000 0.000 0.000
Te 0.250 0.250 0.250
W 0.750 0.750 0.750

Properties
* total DFT energy (no corrections): -0.21232 Ha/atom
* M_tot: 2.97 μB per formula unit